1.
Compound: La2TbDyBi4
Source: the Alexandria database
Functional: PBE-GGA
Structure: relaxed

Properties
The density of states at the Fermi level is 1.13 states/eV/cell. For the mass density, the calculation gives 8.67 g cm⁻³. For the total energy, the calculation gives -5.29 eV/atom. The calculation puts the formation energy at -741 kJ/mol of formula units. Its total magnetic moment is 0.000 Bohr magnetons per cell. As for the calculated volume: 34.342 Å³ per atom.

Geometry as CIF:
```
data_La2TbDyBi4
_chemical_formula_sum 'La2 Tb1 Dy1 Bi4'
_cell_length_a 7.943
_cell_length_b 4.605
_cell_length_c 7.970
_cell_angle_alpha 90.00
_cell_angle_beta 109.54
_cell_angle_gamma 90.00
_symmetry_space_group_name_H-M 'P 1 2/m 1'
_symmetry_Int_Tables_number 10
loop_
_symmetry_equiv_pos_as_xyz
'x,y,z'
'-x,-y,-z'
'-x,y,-z'
'x,-y,z'
loop_
_atom_site_label
_atom_site_type_symbol
_atom_site_fract_x
_atom_site_fract_y
_atom_site_fract_z
La1 La 0.000 0.000 0.000
La2 La 0.000 0.500 0.500
Tb1 Tb 0.500 0.000 0.500
Dy1 Dy 0.500 0.500 0.000
Bi1 Bi 0.262 0.000 0.755
Bi2 Bi 0.262 0.500 0.253
```

***

2.
Compound: LaDyBiTe
Source: the Alexandria database
Functional: PBE-GGA
Structure: relaxed

Properties
For the formation energy from raw total energies, the calculation gives -1.217 eV/atom. The density of states at the Fermi level is 6.19 states/eV/cell. For the mass density, the calculation gives 8.05 g cm⁻³. For the total energy, the calculation gives -5.35 eV/atom. Its total magnetic moment is 0.001 Bohr magnetons per cell. As for the calculated volume: 32.902 Å³ per atom.

Geometry as CIF:
```
data_LaDyBiTe
_chemical_formula_sum 'La3 Dy3 Bi3 Te3'
_cell_length_a 4.5396
_cell_length_b 4.5396
_cell_length_c 22.1232
_cell_angle_alpha 90.00
_cell_angle_beta 90.00
_cell_angle_gamma 120.00
_symmetry_space_group_name_H-M 'R 3 m'
_symmetry_Int_Tables_number 160
_symmetry_space_group_name_Hall 'R 3 -2"'
loop_
_atom_site_label
_atom_site_type_symbol
_atom_site_fract_x
_atom_site_fract_y
_atom_site_fract_z
La1 La 0.0000 0.0000 0.0000
Dy1 Dy 0.0000 0.0000 0.4996
Bi1 Bi 0.0000 0.0000 0.7544
Te1 Te 0.0000 0.0000 0.2445
```

***

3.
Compound: LaDyTh2Bi4
Source: the Alexandria database
Functional: PBE-GGA
Structure: relaxed

Properties
The density of states at the Fermi level is 7.32 states/eV/cell. For the mass density, the calculation gives 9.69 g cm⁻³. For the total energy, the calculation gives -5.75 eV/atom. The calculation puts the formation energy at -586 kJ/mol of formula units. Its total magnetic moment is 0.000 Bohr magnetons per cell. As for the calculated volume: 34.307 Å³ per atom.

Geometry as CIF:
```
data_LaDyTh2Bi4
_chemical_formula_sum 'La2 Dy2 Th4 Bi8'
_cell_length_a 6.503
_cell_length_b 6.503
_cell_length_c 12.980
_cell_angle_alpha 90.00
_cell_angle_beta 90.00
_cell_angle_gamma 90.00
_symmetry_space_group_name_H-M 'I -4 m 2'
_symmetry_Int_Tables_number 119
_symmetry_space_group_name_Hall 'I -4 -2'
loop_
_atom_site_label
_atom_site_type_symbol
_atom_site_fract_x
_atom_site_fract_y
_atom_site_fract_z
La1 La 0.000 0.000 0.000
Dy1 Dy 0.000 0.500 0.750
Th1 Th 0.000 0.000 0.500
Th2 Th 0.000 0.500 0.250
Bi1 Bi 0.000 0.000 0.252
Bi2 Bi 0.000 0.500 0.503
```

***

4.
Compound: La2DyThBi5
Source: the Alexandria database
Functional: PBE-GGA
Structure: relaxed

Properties
The density of states at the Fermi level is 7.55 states/eV/cell. For the mass density, the calculation gives 7.19 g cm⁻³. For the total energy, the calculation gives -4.67 eV/atom. The calculation puts the formation energy at -71 kJ/mol of formula units. Its total magnetic moment is 0.000 Bohr magnetons per cell. As for the calculated volume: 44.085 Å³ per atom.

Geometry as CIF:
```
data_La2DyThBi5
_chemical_formula_sum 'La2 Dy1 Th1 Bi5'
_cell_length_a 5.772
_cell_length_b 5.772
_cell_length_c 11.908
_cell_angle_alpha 90.00
_cell_angle_beta 90.00
_cell_angle_gamma 90.00
_symmetry_space_group_name_H-M 'P 4/m m m'
_symmetry_Int_Tables_number 123
_symmetry_space_group_name_Hall '-P 4 2'
loop_
_atom_site_label
_atom_site_type_symbol
_atom_site_fract_x
_atom_site_fract_y
_atom_site_fract_z
La1 La 0.000 0.000 0.213
Dy1 Dy 0.500 0.500 0.500
Th1 Th 0.500 0.500 0.000
Bi1 Bi 0.000 0.000 0.500
Bi2 Bi 0.000 0.500 0.000
Bi3 Bi 0.500 0.500 0.257
```

***

5.
Compound: La2DyThBi4
Source: the Alexandria database
Functional: PBE-GGA
Structure: relaxed

Properties
The density of states at the Fermi level is 1.90 states/eV/cell. For the mass density, the calculation gives 8.97 g cm⁻³. For the total energy, the calculation gives -5.57 eV/atom. The calculation puts the formation energy at -695 kJ/mol of formula units. Its total magnetic moment is 0.000 Bohr magnetons per cell. As for the calculated volume: 34.884 Å³ per atom.

Geometry as CIF:
```
data_La2DyThBi4
_chemical_formula_sum 'La2 Dy1 Th1 Bi4'
_cell_length_a 7.980
_cell_length_b 4.623
_cell_length_c 8.023
_cell_angle_alpha 90.00
_cell_angle_beta 109.44
_cell_angle_gamma 90.00
_symmetry_space_group_name_H-M 'P 1 2/m 1'
_symmetry_Int_Tables_number 10
loop_
_symmetry_equiv_pos_as_xyz
'x,y,z'
'-x,-y,-z'
'-x,y,-z'
'x,-y,z'
loop_
_atom_site_label
_atom_site_type_symbol
_atom_site_fract_x
_atom_site_fract_y
_atom_site_fract_z
La1 La 0.000 0.000 0.000
La2 La 0.500 0.500 0.000
Dy1 Dy 0.000 0.500 0.500
Th1 Th 0.500 0.000 0.500
Bi1 Bi 0.243 0.000 0.739
Bi2 Bi 0.249 0.500 0.258
```

***

6.
Compound: LaDyTm2Bi4
Source: the Alexandria database
Functional: PBE-GGA
Structure: relaxed

Properties
The density of states at the Fermi level is 2.55 states/eV/cell. For the mass density, the calculation gives 9.39 g cm⁻³. For the total energy, the calculation gives -5.10 eV/atom. The calculation puts the formation energy at -654 kJ/mol of formula units. Its total magnetic moment is 0.000 Bohr magnetons per cell. As for the calculated volume: 32.614 Å³ per atom.

Geometry as CIF:
```
data_LaDyTm2Bi4
_chemical_formula_sum 'La2 Dy2 Tm4 Bi8'
_cell_length_a 6.393
_cell_length_b 6.393
_cell_length_c 12.769
_cell_angle_alpha 90.00
_cell_angle_beta 90.00
_cell_angle_gamma 90.00
_symmetry_space_group_name_H-M 'I 4/m m m'
_symmetry_Int_Tables_number 139
_symmetry_space_group_name_Hall '-I 4 2'
loop_
_atom_site_label
_atom_site_type_symbol
_atom_site_fract_x
_atom_site_fract_y
_atom_site_fract_z
La1 La 0.000 0.000 0.000
Dy1 Dy 0.000 0.000 0.500
Tm1 Tm 0.000 0.500 0.250
Bi1 Bi 0.000 0.000 0.255
Bi2 Bi 0.000 0.500 0.000
```

***

7.
Compound: LaDy2TmBi4
Source: the Alexandria database
Functional: PBE-GGA
Structure: relaxed

Properties
The density of states at the Fermi level is 2.44 states/eV/cell. For the mass density, the calculation gives 9.29 g cm⁻³. For the total energy, the calculation gives -5.14 eV/atom. The calculation puts the formation energy at -674 kJ/mol of formula units. Its total magnetic moment is 0.000 Bohr magnetons per cell. As for the calculated volume: 32.811 Å³ per atom.

Geometry as CIF:
```
data_LaDy2TmBi4
_chemical_formula_sum 'La2 Dy4 Tm2 Bi8'
_cell_length_a 6.408
_cell_length_b 6.408
_cell_length_c 12.785
_cell_angle_alpha 90.00
_cell_angle_beta 90.00
_cell_angle_gamma 90.00
_symmetry_space_group_name_H-M 'I 4/m m m'
_symmetry_Int_Tables_number 139
_symmetry_space_group_name_Hall '-I 4 2'
loop_
_atom_site_label
_atom_site_type_symbol
_atom_site_fract_x
_atom_site_fract_y
_atom_site_fract_z
La1 La 0.000 0.000 0.000
Dy1 Dy 0.000 0.500 0.250
Tm1 Tm 0.000 0.000 0.500
Bi1 Bi 0.000 0.000 0.256
Bi2 Bi 0.000 0.500 0.000
```

***

8.
Compound: LaDy2Y3Bi6
Source: the Alexandria database
Functional: PBE-GGA
Structure: relaxed

Properties
The density of states at the Fermi level is 4.69 states/eV/cell. For the mass density, the calculation gives 8.41 g cm⁻³. For the total energy, the calculation gives -5.64 eV/atom. The calculation puts the formation energy at -1049 kJ/mol of formula units. Its total magnetic moment is 0.000 Bohr magnetons per cell. As for the calculated volume: 32.655 Å³ per atom.

Geometry as CIF:
```
data_LaDy2Y3Bi6
_chemical_formula_sum 'La2 Dy4 Y6 Bi12'
_cell_length_a 7.831
_cell_length_b 13.567
_cell_length_c 7.826
_cell_angle_alpha 90.00
_cell_angle_beta 109.51
_cell_angle_gamma 90.00
_symmetry_space_group_name_H-M 'C 1 2/m 1'
_symmetry_Int_Tables_number 12
loop_
_symmetry_equiv_pos_as_xyz
'x,y,z'
'-x,-y,-z'
'-x,y,-z'
'x,-y,z'
'x+1/2,y+1/2,z'
'-x+1/2,-y+1/2,-z'
'-x+1/2,y+1/2,-z'
'x+1/2,-y+1/2,z'
loop_
_atom_site_label
_atom_site_type_symbol
_atom_site_fract_x
_atom_site_fract_y
_atom_site_fract_z
La1 La 0.000 0.000 0.000
Dy1 Dy 0.000 0.332 0.000
Y1 Y 0.000 0.164 0.500
Y2 Y 0.000 0.500 0.500
Bi1 Bi 0.243 0.500 0.251
Bi2 Bi 0.245 0.330 0.745
```

***

9.
Compound: La3DyY2Bi6
Source: the Alexandria database
Functional: PBE-GGA
Structure: relaxed

Properties
The density of states at the Fermi level is 4.53 states/eV/cell. For the mass density, the calculation gives 8.12 g cm⁻³. For the total energy, the calculation gives -5.60 eV/atom. The calculation puts the formation energy at -1122 kJ/mol of formula units. Its total magnetic moment is 0.000 Bohr magnetons per cell. As for the calculated volume: 34.283 Å³ per atom.

Geometry as CIF:
```
data_La3DyY2Bi6
_chemical_formula_sum 'La6 Dy2 Y4 Bi12'
_cell_length_a 7.972
_cell_length_b 13.806
_cell_length_c 7.933
_cell_angle_alpha 90.00
_cell_angle_beta 109.55
_cell_angle_gamma 90.00
_symmetry_space_group_name_H-M 'C 1 2/m 1'
_symmetry_Int_Tables_number 12
loop_
_symmetry_equiv_pos_as_xyz
'x,y,z'
'-x,-y,-z'
'-x,y,-z'
'x,-y,z'
'x+1/2,y+1/2,z'
'-x+1/2,-y+1/2,-z'
'-x+1/2,y+1/2,-z'
'x+1/2,-y+1/2,z'
loop_
_atom_site_label
_atom_site_type_symbol
_atom_site_fract_x
_atom_site_fract_y
_atom_site_fract_z
La1 La 0.000 0.000 0.000
La2 La 0.000 0.333 0.000
Dy1 Dy 0.000 0.500 0.500
Y1 Y 0.000 0.167 0.500
Bi1 Bi 0.246 0.000 0.738
Bi2 Bi 0.246 0.334 0.738
```

***

10.
Compound: La2DyY3Bi6
Source: the Alexandria database
Functional: PBE-GGA
Structure: relaxed

Properties
The density of states at the Fermi level is 4.52 states/eV/cell. For the mass density, the calculation gives 8.11 g cm⁻³. For the total energy, the calculation gives -5.70 eV/atom. The calculation puts the formation energy at -1087 kJ/mol of formula units. Its total magnetic moment is 0.000 Bohr magnetons per cell. As for the calculated volume: 33.473 Å³ per atom.

Geometry as CIF:
```
data_La2DyY3Bi6
_chemical_formula_sum 'La4 Dy2 Y6 Bi12'
_cell_length_a 7.900
_cell_length_b 13.686
_cell_length_c 7.885
_cell_angle_alpha 90.00
_cell_angle_beta 109.54
_cell_angle_gamma 90.00
_symmetry_space_group_name_H-M 'C 1 2/m 1'
_symmetry_Int_Tables_number 12
loop_
_symmetry_equiv_pos_as_xyz
'x,y,z'
'-x,-y,-z'
'-x,y,-z'
'x,-y,z'
'x+1/2,y+1/2,z'
'-x+1/2,-y+1/2,-z'
'-x+1/2,y+1/2,-z'
'x+1/2,-y+1/2,z'
loop_
_atom_site_label
_atom_site_type_symbol
_atom_site_fract_x
_atom_site_fract_y
_atom_site_fract_z
La1 La 0.000 0.166 0.000
Dy1 Dy 0.000 0.500 0.000
Y1 Y 0.000 0.000 0.500
Y2 Y 0.000 0.330 0.500
Bi1 Bi 0.239 0.500 0.740
Bi2 Bi 0.248 0.337 0.257
```

***

11.
Compound: LaDyZnBi
Source: the Alexandria database
Functional: PBE-GGA
Structure: relaxed

Properties
The density of states at the Fermi level is 14.45 states/eV/cell. For the mass density, the calculation gives 8.52 g cm⁻³. For the total energy, the calculation gives -4.12 eV/atom. The calculation puts the formation energy at -175 kJ/mol of formula units. Its total magnetic moment is 0.001 Bohr magnetons per cell. As for the calculated volume: 28.056 Å³ per atom.

Geometry as CIF:
```
data_LaDyZnBi
_chemical_formula_sum 'La4 Dy4 Zn4 Bi4'
_cell_length_a 7.657
_cell_length_b 7.657
_cell_length_c 7.657
_cell_angle_alpha 90.00
_cell_angle_beta 90.00
_cell_angle_gamma 90.00
_symmetry_space_group_name_H-M 'F -4 3 m'
_symmetry_Int_Tables_number 216
_symmetry_space_group_name_Hall 'F -4 2 3'
loop_
_atom_site_label
_atom_site_type_symbol
_atom_site_fract_x
_atom_site_fract_y
_atom_site_fract_z
La1 La 0.000 0.000 0.000
Dy1 Dy 0.000 0.000 0.500
Zn1 Zn 0.250 0.250 0.750
Bi1 Bi 0.250 0.250 0.250
```

***

12.
Compound: LiDy2Bi
Source: the Alexandria database
Functional: PBE-GGA
Structure: relaxed

Properties
The density of states at the Fermi level is 3.37 states/eV/cell. For the mass density, the calculation gives 8.46 g cm⁻³. For the total energy, the calculation gives -4.12 eV/atom. The calculation puts the formation energy at -144 kJ/mol of formula units. Its total magnetic moment is 0.000 Bohr magnetons per cell. As for the calculated volume: 26.548 Å³ per atom.

Geometry as CIF:
```
data_LiDy2Bi
_chemical_formula_sum 'Li1 Dy2 Bi1'
_cell_length_a 4.924
_cell_length_b 4.924
_cell_length_c 4.380
_cell_angle_alpha 90.00
_cell_angle_beta 90.00
_cell_angle_gamma 90.00
_symmetry_space_group_name_H-M 'P 4/m m m'
_symmetry_Int_Tables_number 123
_symmetry_space_group_name_Hall '-P 4 2'
loop_
_atom_site_label
_atom_site_type_symbol
_atom_site_fract_x
_atom_site_fract_y
_atom_site_fract_z
Li1 Li 0.000 0.000 0.000
Dy1 Dy 0.000 0.500 0.500
Bi1 Bi 0.500 0.500 0.000
```

***

13.
Compound: LiDyBi2
Source: the Alexandria database
Functional: PBE-GGA
Structure: relaxed

Properties
The density of states at the Fermi level is 12.52 states/eV/cell. For the mass density, the calculation gives 8.82 g cm⁻³. For the total energy, the calculation gives -4.01 eV/atom. The calculation puts the formation energy at -169 kJ/mol of formula units. Its total magnetic moment is 0.001 Bohr magnetons per cell. As for the calculated volume: 27.649 Å³ per atom.

Geometry as CIF:
```
data_LiDyBi2
_chemical_formula_sum 'Li4 Dy4 Bi8'
_cell_length_a 7.620
_cell_length_b 7.620
_cell_length_c 7.620
_cell_angle_alpha 90.00
_cell_angle_beta 90.00
_cell_angle_gamma 90.00
_symmetry_space_group_name_H-M 'F m -3 m'
_symmetry_Int_Tables_number 225
_symmetry_space_group_name_Hall '-F 4 2 3'
loop_
_atom_site_label
_atom_site_type_symbol
_atom_site_fract_x
_atom_site_fract_y
_atom_site_fract_z
Li1 Li 0.000 0.000 0.000
Dy1 Dy 0.000 0.000 0.500
Bi1 Bi 0.250 0.250 0.250
```